1.
! PBEsol FeIO3, optimized geometry; values from VASP
! N(E_F) = 4.20 states/eV/cell
! density = 7.01 Mg/m³
! SG = Pm-3m, No. 221
&SYSTEM
  ibrav = 0, nat = 5, ntyp = 3
/
ATOMIC_SPECIES
Fe 55.84 Fe.upf
I 126.90 I.upf
O 16.00 O.upf
CELL_PARAMETERS angstrom
3.795 0.000 0.000
0.000 3.795 0.000
0.000 0.000 3.795
ATOMIC_POSITIONS crystal
Fe 0.000 0.000 0.000
I 0.500 0.500 0.500
O 0.000 0.000 0.500
O 0.000 0.500 0.000
O 0.500 0.000 0.000

2.
! PBEsol FeSI2O, optimized geometry; values from VASP
! N(E_F) = 4.96 states/eV/cell
! density = 5.64 Mg/m³
! SG = P4/mmm, No. 123
&SYSTEM
  ibrav = 0, nat = 5, ntyp = 4
/
ATOMIC_SPECIES
Fe 55.84 Fe.upf
S 32.06 S.upf
I 126.90 I.upf
O 16.00 O.upf
CELL_PARAMETERS angstrom
5.459 0.000 0.000
0.000 5.459 0.000
0.000 0.000 3.534
ATOMIC_POSITIONS crystal
Fe 0.000 0.000 0.000
S 0.500 0.500 0.500
I 0.000 0.500 0.500
I 0.500 0.000 0.500
O 0.500 0.500 0.000

3.
! PBEsol FeSb2IO, optimized geometry; values from VASP
! N(E_F) = 5.44 states/eV/cell
! density = 6.28 Mg/m³
! SG = P4/mmm, No. 123
&SYSTEM
  ibrav = 0, nat = 5, ntyp = 4
/
ATOMIC_SPECIES
Fe 55.84 Fe.upf
Sb 121.76 Sb.upf
I 126.90 I.upf
O 16.00 O.upf
CELL_PARAMETERS angstrom
4.721 0.000 0.000
0.000 4.721 0.000
0.000 0.000 5.249
ATOMIC_POSITIONS crystal
Fe 0.000 0.000 0.000
Sb 0.000 0.500 0.000
Sb 0.500 0.000 0.000
I 0.000 0.000 0.500
O 0.500 0.500 0.500

What did we get for ΔE_f (raw)? Answer: -0.347 0.551 0.710 eV per atom, in the order shown.
What did we get for total magnetization? Answer: 1.9 3.2 2.1 μB/cell, in the order shown.